A | The following is a GGA-PBE calculation of CaCuAg after structural relaxation, from Alexandria.

Lattice parameters (Å, degrees): 6.201 5.599 7.920 90.00 112.17 90.00
Space group P2_1/c (No. 14)
One atom of each set of equivalent atoms:
Ca1 0.193 0.116 0.376
Cu1 0.177 0.614 0.524
Ag1 0.407 0.597 0.297

Computed properties:
- Theoretical density: 5.517 Mg/m³
- Magnetization: 0.00 μB/f.u.



B | The following is a GGA-PBE calculation of CaCuAg after structural relaxation, from Alexandria.

Lattice parameters (Å, degrees): 4.5244 4.5244 3.7149 90.00 90.00 120.00
Space group P-6m2 (No. 187)
One atom of each set of equivalent atoms:
Ca1 0.0000 0.0000 0.0000
Cu1 0.6667 0.3333 0.5000
Ag1 0.3333 0.6667 0.5000

Computed properties:
- Theoretical density: 5.333 Mg/m³
- Magnetization: 0.00 μB/f.u.



Most stable: A